# 1
A crystal of Cu2TcMo relaxed with PBEsol. Source: Alexandria via LeMat-Bulk, functional meta-GGA SCAN.

Calculated values
As for the energy above the most stable polymorph in this dataset: 0 meV per atom. Its calculated formation energy is 207 meV/atom. Its total energy is -24.879 eV/atom.

```
4
Lattice="-0.022 2.431 -0.686 -3.834 0.753 2.793 4.313 0.609 2.023" Properties=species:S:1:pos:R:3 pbc="T T T"
Cu -1.917 0.376 1.396
Cu 2.156 0.305 1.012
Mo -0.011 1.216 -0.343
Tc 0.228 1.897 2.065
```

=====

# 2
A crystal of LaHf2ScSn relaxed with PBEsol. Source: Alexandria via LeMat-Bulk, functional meta-GGA SCAN.

Calculated values
Its calculated formation energy is 770 meV/atom. Its total energy is -42.952 eV/atom.

```
5
Lattice="5.262 0.000 0.000 0.000 5.262 0.000 0.000 0.000 5.787" Properties=species:S:1:pos:R:3 pbc="T T T"
Sc 2.631 2.631 2.894
Hf 0.000 2.631 0.000
Hf 2.631 0.000 0.000
Sn 0.000 0.000 0.000
La 0.000 0.000 2.894
```

=====

# 3
A crystal of Sc2BiH relaxed with PBEsol. Source: Alexandria via LeMat-Bulk, functional meta-GGA SCAN.

Calculated values
Its total energy is -27.804 eV/atom.

```
4
Lattice="-0.009 1.434 4.251 0.058 -2.964 3.367 6.292 -0.411 2.519" Properties=species:S:1:pos:R:3 pbc="T T T"
Sc 4.407 -0.441 2.525
Sc 1.934 -1.500 7.612
H 0.000 0.000 0.000
Bi 3.170 -0.970 5.068
```

=====

# 4
A crystal of MgMoW relaxed with PBEsol. Source: Alexandria via LeMat-Bulk, functional meta-GGA SCAN.

Calculated values
As for the energy above the most stable polymorph in this dataset: 747 meV per atom. Its calculated formation energy is 1115 meV/atom. Its total energy is -35.401 eV/atom.

```
3
Lattice="-3.001 3.043 -0.670 -3.713 -0.098 2.218 -0.782 2.975 3.043" Properties=species:S:1:pos:R:3 pbc="T T T"
Mg -3.748 2.960 2.295
Mo -5.622 4.439 3.443
W 0.000 0.000 0.000
```

=====

# 5
A crystal of KIn2Pd2 relaxed with PBEsol. Source: Alexandria via LeMat-Bulk, functional meta-GGA SCAN.

Calculated values
As for the energy above the most stable polymorph in this dataset: 48 meV per atom. Its calculated formation energy is -335 meV/atom. Its total energy is -28.465 eV/atom.

```
5
Lattice="4.292 0.000 0.000 0.000 4.292 0.000 -2.146 -2.146 6.238" Properties=species:S:1:pos:R:3 pbc="T T T"
K 0.000 0.000 0.000
Pd 0.000 2.146 3.119
Pd 2.146 0.000 3.119
In 0.000 0.000 4.689
In 2.146 2.146 1.549
```

=====

# 6
A crystal of SrMg2GaH relaxed with PBEsol. Source: Alexandria via LeMat-Bulk, functional meta-GGA SCAN.

Calculated values
Its total energy is -10.108 eV/atom.

```
5
Lattice="-2.149 0.241 3.019 3.131 -4.049 2.552 3.457 4.022 2.140" Properties=species:S:1:pos:R:3 pbc="T T T"
Sr 2.220 0.107 3.855
Mg 1.729 2.011 1.070
Mg 1.565 -2.024 1.276
Ga 0.000 0.000 0.000
H -1.074 0.121 1.509
```